# TiGa3Fe4 PBE relaxed
data_TiGa3Fe4
_chemical_formula_sum 'Ti1 Ga3 Fe4'
_cell_length_a 2.9868
_cell_length_b 4.0591
_cell_length_c 8.1546
_cell_angle_alpha 90.00
_cell_angle_beta 90.00
_cell_angle_gamma 90.00
_symmetry_space_group_name_H-M 'P 1'
_symmetry_Int_Tables_number 1
_symmetry_space_group_name_Hall 'P 1'
loop_
_atom_site_label
_atom_site_fract_x
_atom_site_fract_y
_atom_site_fract_z
Fe1 0.0000 0.0000 0.5000
Fe2 0.0000 0.5000 0.7433
Fe3 0.0000 0.0000 0.0000
Fe4 0.0000 0.5000 0.2567
Ga1 0.5000 0.0000 0.2415
Ga2 0.5000 0.5000 0.5000
Ga3 0.5000 0.0000 0.7585
Ti1 0.5000 0.5000 0.0000
# - energy of formation from the pure elements (kJ/mol of atoms) = -19
# - raw total energy (eV/cell) = -52.4

***

# Ac4PmHo PBE relaxed
data_Ac4PmHo
_chemical_formula_sum 'Ac8 Pm2 Ho2'
_cell_length_a 6.2389
_cell_length_b 7.4469
_cell_length_c 10.5720
_cell_angle_alpha 90.00
_cell_angle_beta 90.00
_cell_angle_gamma 90.00
_symmetry_space_group_name_H-M 'P 1'
_symmetry_Int_Tables_number 1
_symmetry_space_group_name_Hall 'P 1'
loop_
_atom_site_label
_atom_site_fract_x
_atom_site_fract_y
_atom_site_fract_z
Ac1 0.0000 0.5000 0.6682
Ac2 0.5000 0.5000 0.8296
Ac3 0.0000 0.0000 0.3318
Ac4 0.5000 0.5000 0.1704
Ac5 0.5000 0.0000 0.1704
Ac6 0.0000 0.0000 0.6682
Ac7 0.5000 0.0000 0.8296
Ac8 0.0000 0.5000 0.3318
Pm1 0.0000 0.7500 0.0000
Pm2 0.0000 0.2500 0.0000
Ho1 0.4999 0.7500 0.5000
Ho2 0.5001 0.2500 0.5000
# - energy of formation from the pure elements (kJ/mol of atoms) = 15
# - raw total energy (eV/cell) = -49.7

***

# AlZn PBE relaxed
data_AlZn
_chemical_formula_sum 'Al2 Zn2'
_cell_length_a 2.8016
_cell_length_b 4.1223
_cell_length_c 5.5390
_cell_angle_alpha 90.00
_cell_angle_beta 90.00
_cell_angle_gamma 90.00
_symmetry_space_group_name_H-M 'P 1'
_symmetry_Int_Tables_number 1
_symmetry_space_group_name_Hall 'P 1'
loop_
_atom_site_label
_atom_site_fract_x
_atom_site_fract_y
_atom_site_fract_z
Zn1 0.0000 0.0000 0.4993
Zn2 0.5000 0.5000 0.2507
Al1 0.0000 0.0000 0.0017
Al2 0.5000 0.5000 0.7483
# - energy of formation from the pure elements (kJ/mol of atoms) = 3
# - raw total energy (eV/cell) = -9.9

***

# NaAl2S3 PBE relaxed
data_NaAl2S3
_chemical_formula_sum 'Na2 Al4 S6'
_cell_length_a 3.5586
_cell_length_b 8.7243
_cell_length_c 10.8141
_cell_angle_alpha 110.68
_cell_angle_beta 99.47
_cell_angle_gamma 90.00
_symmetry_space_group_name_H-M 'P 1'
_symmetry_Int_Tables_number 1
_symmetry_space_group_name_Hall 'P 1'
loop_
_atom_site_label
_atom_site_fract_x
_atom_site_fract_y
_atom_site_fract_z
Na1 0.3440 0.0845 0.6881
Na2 0.6560 0.9155 0.3119
Al1 0.2780 0.6505 0.5560
Al2 0.7220 0.3495 0.4440
Al3 0.9430 0.8432 0.8861
Al4 0.0570 0.1568 0.1139
S1 0.2350 0.1908 0.4701
S2 0.0544 0.8971 0.1087
S3 0.3928 0.6785 0.7856
S4 0.7650 0.8092 0.5299
S5 0.6072 0.3215 0.2144
S6 0.9456 0.1029 0.8913
# - raw total energy (eV/cell) = -54.2
# - formation energy (no corrections) (eV per atom) = -0.988

***

# ZrCrIr4 PBE relaxed
data_ZrCrIr4
_chemical_formula_sum 'Zr1 Cr1 Ir4'
_cell_length_a 5.2030
_cell_length_b 5.2030
_cell_length_c 5.2030
_cell_angle_alpha 60.00
_cell_angle_beta 60.00
_cell_angle_gamma 60.00
_symmetry_space_group_name_H-M 'P 1'
_symmetry_Int_Tables_number 1
_symmetry_space_group_name_Hall 'P 1'
loop_
_atom_site_label
_atom_site_fract_x
_atom_site_fract_y
_atom_site_fract_z
Zr1 0.2500 0.2500 0.2500
Cr1 0.0000 0.0000 0.0000
Ir1 0.6255 0.6255 0.1236
Ir2 0.6255 0.1236 0.6255
Ir3 0.6255 0.6255 0.6255
Ir4 0.1236 0.6255 0.6255
# - energy of formation from the pure elements (kJ/mol of atoms) = -23
# - raw total energy (eV/cell) = -55.0

***

# LiBiPSe4 PBE relaxed
data_LiBiPSe4
_chemical_formula_sum 'Li2 Bi2 P2 Se8'
_cell_length_a 8.4324
_cell_length_b 7.9631
_cell_length_c 7.9631
_cell_angle_alpha 58.38
_cell_angle_beta 58.03
_cell_angle_gamma 58.03
_symmetry_space_group_name_H-M 'P 1'
_symmetry_Int_Tables_number 1
_symmetry_space_group_name_Hall 'P 1'
loop_
_atom_site_label
_atom_site_fract_x
_atom_site_fract_y
_atom_site_fract_z
Li1 0.5000 0.0000 0.5000
Li2 0.0000 0.0000 0.5000
Bi1 0.0000 0.0000 0.0000
Bi2 0.0000 0.5000 0.5000
P1 0.6228 0.6272 0.1272
P2 0.3772 0.3728 0.8728
Se1 0.7347 0.7589 0.7717
Se2 0.2653 0.7283 0.7411
Se3 0.7347 0.2717 0.2589
Se4 0.2653 0.2411 0.2283
Se5 0.2601 0.7505 0.2505
Se6 0.7389 0.7505 0.2505
Se7 0.2611 0.2495 0.7495
Se8 0.7399 0.2495 0.7495
# - raw total energy (eV/cell) = -54.5
# - formation energy (no corrections) (eV per atom) = -0.300

***

# BaDy2Sn2Hg2 PBE relaxed
data_BaDy2Sn2Hg2
_chemical_formula_sum 'Ba1 Dy2 Sn2 Hg2'
_cell_length_a 5.1135
_cell_length_b 5.1135
_cell_length_c 10.0065
_cell_angle_alpha 75.20
_cell_angle_beta 75.20
_cell_angle_gamma 60.00
_symmetry_space_group_name_H-M 'P 1'
_symmetry_Int_Tables_number 1
_symmetry_space_group_name_Hall 'P 1'
loop_
_atom_site_label
_atom_site_fract_x
_atom_site_fract_y
_atom_site_fract_z
Ba1 0.0000 0.0000 0.0000
Dy1 0.1347 0.1347 0.5960
Dy2 0.8653 0.8653 0.4040
Sn1 0.7450 0.7450 0.7649
Sn2 0.2550 0.2550 0.2351
Hg1 0.5590 0.5590 0.3230
Hg2 0.4410 0.4410 0.6770
# - energy of formation from the pure elements (kJ/mol of atoms) = -38
# - raw total energy (eV/cell) = -22.5

***

# HfCo2Os PBE relaxed
data_HfCo2Os
_chemical_formula_sum 'Hf2 Co4 Os2'
_cell_length_a 3.7843
_cell_length_b 3.7843
_cell_length_c 9.1576
_cell_angle_alpha 78.08
_cell_angle_beta 78.08
_cell_angle_gamma 90.00
_symmetry_space_group_name_H-M 'P 1'
_symmetry_Int_Tables_number 1
_symmetry_space_group_name_Hall 'P 1'
loop_
_atom_site_label
_atom_site_fract_x
_atom_site_fract_y
_atom_site_fract_z
Hf1 0.5000 0.5000 0.0000
Hf2 0.2500 0.7500 0.5000
Os1 0.0000 0.0000 0.0000
Os2 0.7500 0.2500 0.5000
Co1 0.6790 0.1250 0.2500
Co2 0.0710 0.6250 0.2500
Co3 0.3750 0.3210 0.7500
Co4 0.8750 0.9290 0.7500
# - energy of formation from the pure elements (kJ/mol of atoms) = 39
# - raw total energy (eV/cell) = -67.6

***

# BePHS2 PBE relaxed
data_BePHS2
_chemical_formula_sum 'Be1 P1 H1 S2'
_cell_length_a 4.4999
_cell_length_b 4.4999
_cell_length_c 3.0969
_cell_angle_alpha 90.00
_cell_angle_beta 90.00
_cell_angle_gamma 90.00
_symmetry_space_group_name_H-M 'P 1'
_symmetry_Int_Tables_number 1
_symmetry_space_group_name_Hall 'P 1'
loop_
_atom_site_label
_atom_site_fract_x
_atom_site_fract_y
_atom_site_fract_z
P1 0.0000 0.0000 0.5000
S1 0.0000 0.5000 0.0000
S2 0.5000 0.0000 0.0000
H1 0.0000 0.0000 0.0000
Be1 0.5000 0.5000 0.5000
# - raw total energy (eV/cell) = -16.7

***

# BaNa3Hg3 PBE relaxed
data_BaNa3Hg3
_chemical_formula_sum 'Ba2 Na6 Hg6'
_cell_length_a 5.2113
_cell_length_b 9.9610
_cell_length_c 9.9701
_cell_angle_alpha 120.00
_cell_angle_beta 90.00
_cell_angle_gamma 90.00
_symmetry_space_group_name_H-M 'P 1'
_symmetry_Int_Tables_number 1
_symmetry_space_group_name_Hall 'P 1'
loop_
_atom_site_label
_atom_site_fract_x
_atom_site_fract_y
_atom_site_fract_z
Ba1 0.7500 0.3336 0.6669
Ba2 0.2500 0.6664 0.3331
Na1 0.7500 0.7710 0.0222
Na2 0.7500 0.2514 0.2295
Na3 0.7500 0.9781 0.7485
Na4 0.2500 0.2290 0.9778
Na5 0.2500 0.7486 0.7705
Na6 0.2500 0.0219 0.2515
Hg1 0.7500 0.9352 0.3866
Hg2 0.7500 0.4511 0.0647
Hg3 0.7500 0.6136 0.5485
Hg4 0.2500 0.0648 0.6134
Hg5 0.2500 0.5489 0.9353
Hg6 0.2500 0.3864 0.4515
# - energy of formation from the pure elements (kJ/mol of atoms) = -29
# - raw total energy (eV/cell) = -17.7

***

# LiLa2NbO6 PBE relaxed
data_LiLa2NbO6
_chemical_formula_sum 'Li1 La2 Nb1 O6'
_cell_length_a 5.7568
_cell_length_b 5.7569
_cell_length_c 5.7382
_cell_angle_alpha 59.89
_cell_angle_beta 59.89
_cell_angle_gamma 60.00
_symmetry_space_group_name_H-M 'P 1'
_symmetry_Int_Tables_number 1
_symmetry_space_group_name_Hall 'P 1'
loop_
_atom_site_label
_atom_site_fract_x
_atom_site_fract_y
_atom_site_fract_z
Li1 0.8098 0.8098 0.5705
La1 0.5459 0.5459 0.3622
La2 0.0482 0.0482 0.8553
Nb1 0.3130 0.3130 0.0611
O1 0.5699 0.1652 0.2732
O2 0.1653 0.9917 0.2731
O3 0.9917 0.5698 0.2732
O4 0.4615 0.6527 0.7822
O5 0.6527 0.1036 0.7821
O6 0.1036 0.4615 0.7822
# - raw total energy (eV/cell) = -81.6
# - formation energy (no corrections) (eV per atom) = -2.997

***

# LaYZn2Au PBE relaxed
data_LaYZn2Au
_chemical_formula_sum 'La1 Y1 Zn2 Au1'
_cell_length_a 5.3755
_cell_length_b 5.3704
_cell_length_c 5.3755
_cell_angle_alpha 90.00
_cell_angle_beta 90.00
_cell_angle_gamma 90.00
_symmetry_space_group_name_H-M 'P 1'
_symmetry_Int_Tables_number 1
_symmetry_space_group_name_Hall 'P 1'
loop_
_atom_site_label
_atom_site_fract_x
_atom_site_fract_y
_atom_site_fract_z
Y1 0.5000 0.5000 0.5000
Zn1 0.0000 0.0000 0.5000
Zn2 0.5000 0.0000 0.0000
Au1 0.0000 0.5000 0.0000
La1 0.0000 0.0000 0.0000
# - energy of formation from the pure elements (kJ/mol of atoms) = 46
# - raw total energy (eV/cell) = -14.8